(1)
Density functional theory data (PBE) for crystalline FeAgBiMo at its relaxed geometry.

abc: 4.5991 4.5991 4.5991
angles: 60.00 60.00 60.00
Sites, in units of the cell vectors:
Fe1 0.0000 0.0000 0.0000
Ag1 0.2500 0.2500 0.2500
Bi1 0.7500 0.7500 0.7500
Mo1 0.5000 0.5000 0.5000

Values from the calculation:
* SG: F-43m (216)
* DFT total energy: -5.765 eV/atom

(2)
Density functional theory data (PBE) for crystalline BaNaHg2 at its relaxed geometry.

abc: 5.5089 5.5089 4.3190
angles: 90.00 90.00 90.00
Sites, in units of the cell vectors:
Ba1 0.0000 0.0000 0.0000
Na1 0.5000 0.5000 0.0000
Hg1 0.0000 0.5000 0.5000
Hg2 0.5000 0.0000 0.5000

Values from the calculation:
* SG: P4/mmm (123)
* DFT total energy: -1.286 eV/atom

(3)
Density functional theory data (PBE) for crystalline Cs2TcSe2S at its relaxed geometry.

abc: 8.1722 8.1722 10.4617
angles: 121.67 121.67 53.70
Sites, in units of the cell vectors:
Cs1 0.0826 0.0826 0.3556
Cs2 0.3028 0.3028 0.1892
Cs3 0.6972 0.6972 0.8108
Cs4 0.9174 0.9174 0.6444
Tc1 0.3991 0.3991 0.8458
Tc2 0.6009 0.6009 0.1542
Se1 0.2121 0.2121 0.7766
Se2 0.3888 0.3888 0.6110
Se3 0.6112 0.6112 0.3890
Se4 0.7879 0.7879 0.2234
S1 0.2599 0.7401 0.0000
S2 0.7401 0.2599 0.0000

Values from the calculation:
* SG: C2/m (12)
* DFT total energy: -4.666 eV/atom

(4)
Density functional theory data (PBE) for crystalline RbUBr6 at its relaxed geometry.

abc: 8.2652 8.2652 8.2652
angles: 55.09 55.09 55.09
Sites, in units of the cell vectors:
Rb1 0.0000 0.0000 0.0000
U1 0.5000 0.5000 0.5000
Br1 0.0943 0.5906 0.5906
Br2 0.4094 0.4094 0.9057
Br3 0.4094 0.9057 0.4094
Br4 0.5906 0.0943 0.5906
Br5 0.5906 0.5906 0.0943
Br6 0.9057 0.4094 0.4094

Values from the calculation:
* SG: R-3m (166)
* DFT total energy: -4.164 eV/atom

(5)
Density functional theory data (PBE) for crystalline K2NiSe3 at its relaxed geometry.

abc: 6.9040 6.9040 8.8617
angles: 108.71 108.71 57.14
Sites, in units of the cell vectors:
K1 0.0971 0.0971 0.3748
K2 0.3013 0.3013 0.1541
K3 0.6987 0.6987 0.8459
K4 0.9029 0.9029 0.6252
Ni1 0.4110 0.4110 0.8279
Ni2 0.5890 0.5890 0.1721
Se1 0.2113 0.2113 0.7631
Se2 0.2374 0.7626 0.0000
Se3 0.4177 0.4177 0.5614
Se4 0.5823 0.5823 0.4386
Se5 0.7626 0.2374 0.0000
Se6 0.7887 0.7887 0.2369

Values from the calculation:
* SG: C2/m (12)
* DFT total energy: -3.668 eV/atom

(6)
Density functional theory data (PBE) for crystalline LuAlFePt at its relaxed geometry.

abc: 4.4886 4.4886 4.4886
angles: 60.00 60.00 60.00
Sites, in units of the cell vectors:
Lu1 0.0000 0.0000 0.0000
Al1 0.5000 0.5000 0.5000
Fe1 0.7500 0.7500 0.7500
Pt1 0.2500 0.2500 0.2500

Values from the calculation:
* SG: F-43m (216)
* DFT total energy: -6.238 eV/atom

(7)
Density functional theory data (PBE) for crystalline CdBiS2Cl at its relaxed geometry.

abc: 9.5663 4.0037 12.7011
angles: 90.00 90.00 90.00
Sites, in units of the cell vectors:
Cd1 0.0033 0.2500 0.2368
Cd2 0.4967 0.7500 0.7368
Cd3 0.5033 0.2500 0.2632
Cd4 0.9967 0.7500 0.7632
Bi1 0.1955 0.7500 0.4745
Bi2 0.3045 0.2500 0.9745
Bi3 0.6955 0.7500 0.0255
Bi4 0.8045 0.2500 0.5255
S1 0.0533 0.2500 0.6119
S2 0.2472 0.2500 0.3328
S3 0.2528 0.7500 0.8328
S4 0.4467 0.7500 0.1119
S5 0.5533 0.2500 0.8881
S6 0.7472 0.2500 0.1672
S7 0.7528 0.7500 0.6672
S8 0.9467 0.7500 0.3881
Cl1 0.0740 0.7500 0.1049
Cl2 0.4260 0.2500 0.6049
Cl3 0.5740 0.7500 0.3951
Cl4 0.9260 0.2500 0.8951

Values from the calculation:
* SG: Pnma (62)
* DFT total energy: -3.643 eV/atom

(8)
Density functional theory data (PBE) for crystalline SrSiGeIr2 at its relaxed geometry.

abc: 6.0769 6.0769 6.0769
angles: 139.65 139.65 58.38
Sites, in units of the cell vectors:
Sr1 0.0000 0.0000 0.0000
Si1 0.3653 0.3653 0.0000
Ge1 0.6256 0.6256 0.0000
Ir1 0.2551 0.7551 0.5000
Ir2 0.7551 0.2551 0.5000

Values from the calculation:
* SG: I4mm (107)
* DFT total energy: -6.653 eV/atom